Here is MnBi3N after structural relaxation from Alexandria via LeMat-Bulk. Energies are from PBE.

Geometry as POSCAR:
```
MnBi3N
1.0
4.916 0.000 0.000
0.000 4.916 0.000
0.000 0.000 4.916
Bi Mn N
3 1 1
direct
0.500 0.000 0.000 Bi
0.000 0.500 0.000 Bi
0.000 0.000 0.500 Bi
0.500 0.500 0.500 Mn
0.000 0.000 0.000 N
```

Values from the calculation:
**Excess energy over the best structure of this formula in the dataset**: 0 meV per atom
**V**: 118.8 Å³ per cell
**DOS at the Fermi energy**: 2.2 states/eV per cell